Record 1
The following is a PBE-GGA calculation of an optimized crystal structure of CaY2Br, from Alexandria via LeMat-Bulk.

Structure (POSCAR):
```
CaY2Br
1.0
3.695 0.000 0.000
0.000 5.613 0.000
0.000 0.000 6.274
Ca Y Br
1 2 1
Cartesian
0.000 0.000 0.000
0.000 2.806 3.137
1.847 0.000 3.137
1.847 2.806 0.000
```

Properties
formation energy without anion corrections: -0.231 eV per atom
spin magnetization: 0.0000 μB per atom
polymorph energy (0 for the lowest one): 0.316 eV per atom

Record 2
The following is a PBE-GGA calculation of an optimized crystal structure of CsIn4SnPb2, from Alexandria via LeMat-Bulk.

Structure (POSCAR):
```
CsIn4SnPb2
1.0
2.783 1.607 10.623
-2.783 1.607 10.623
0.000 -3.213 10.623
Cs In Sn Pb
1 4 1 2
Cartesian
0.000 0.000 0.000
0.000 0.000 4.033
0.000 0.000 12.984
0.000 0.000 18.885
0.000 0.000 27.836
0.000 0.000 15.934
0.000 0.000 7.229
0.000 0.000 24.639
```

Properties
spin magnetization: 0.0000 μB per atom
formation energy: -0.0211 eV/atom

Record 3
The following is a PBE-GGA calculation of an optimized crystal structure of Ac3PRh, from Alexandria via LeMat-Bulk.

Structure (POSCAR):
```
Ac3PRh
1.0
5.664 0.000 0.000
0.000 5.664 0.000
0.000 0.000 5.664
Ac P Rh
3 1 1
Cartesian
0.000 0.000 2.832
0.000 2.832 0.000
2.832 0.000 0.000
2.832 2.832 2.832
0.000 0.000 0.000
```

Properties
spin magnetization: 0.0000 μB per atom
formation energy: -0.2780 eV/atom

Record 4
The following is a PBE-GGA calculation of an optimized crystal structure of BaPaAs2Rh2, from Alexandria via LeMat-Bulk.

Structure (POSCAR):
```
BaPaAs2Rh2
1.0
4.262 0.000 0.000
-2.131 3.691 0.000
0.000 0.000 8.704
Ba Pa As Rh
1 1 2 2
Cartesian
0.000 0.000 0.000
0.000 0.000 4.352
0.000 2.461 2.280
2.131 1.230 6.423
0.000 2.461 5.953
2.131 1.230 2.751
```

Properties
spin magnetization: 0.0000 μB per atom
formation energy: -0.9494 eV/atom